DFT (PBE-GGA) results for crystalline SrZn2Ga4 at its relaxed geometry.

The structure in POSCAR format:
```
SrZn2Ga4
1.0
-3.7212 -0.3958 -3.0641
-1.7370 -5.6654 -0.8852
-5.1894 -1.2223 2.7336
Sr Zn Ga
1 2 4
Direct
0.0000 0.0000 0.0000
0.7918 0.4589 0.4589
0.2082 0.5411 0.5411
0.3053 0.3968 0.0043
0.6947 0.9957 0.6032
0.6947 0.6032 0.9957
0.3053 0.0043 0.3968
```

## Properties
- Fermi-level density of states: 1.7 states/eV/cell
- Energy of formation from the pure elements: -206 meV per atom
- Space-group type: C2/m (12)
- M_tot: 0.0 μB/cell
- Final energy: -2.540 eV per atom

=====

DFT (PBE-GGA) results for crystalline KRe2Tc at its relaxed geometry.

The structure in POSCAR format:
```
KRe2Tc
1.0
5.6490 0.0084 0.0000
-3.0348 4.7646 0.0000
0.0000 0.0000 2.5664
Re Tc K
2 1 1
Direct
0.5000 0.5000 0.0000
0.0000 0.0000 0.0000
0.5000 0.0000 0.5000
0.0000 0.5000 0.5000
```

## Properties
- Excess energy over the best structure of this formula in the dataset: 808 meV/atom
- Fermi-level density of states: 3.1 states/eV/cell
- Energy of formation from the pure elements: 1528 meV per atom
- Space-group type: Cmmm (65)
- M_tot: 0.0 μB/cell
- Final energy: -7.562 eV per atom

=====

DFT (PBE-GGA) results for crystalline Pr3HoPb at its relaxed geometry.

The structure in POSCAR format:
```
Pr3HoPb
1.0
-3.2832 7.5544 3.1020
-3.7025 -4.6121 7.3133
9.1856 4.0838 -0.2232
Pb Pr Ho
4 12 4
Direct
0.7524 0.0971 0.0582
0.2524 0.9029 0.4418
0.2476 0.9029 0.9418
0.7476 0.0971 0.5582
0.4130 0.0933 0.7927
0.0641 0.3138 0.1040
0.9359 0.6862 0.8960
0.2049 0.5966 0.5365
0.2951 0.5966 0.0365
0.5870 0.9067 0.2073
0.0870 0.0933 0.2927
0.4359 0.3138 0.6040
0.7951 0.4034 0.4635
0.9130 0.9067 0.7073
0.5641 0.6862 0.3960
0.7049 0.4034 0.9635
0.4340 0.2527 0.2205
0.5660 0.7473 0.7795
0.9340 0.7473 0.2795
0.0660 0.2527 0.7205
```

## Properties
- Fermi-level density of states: 21.6 states/eV/cell
- Energy of formation from the pure elements: -176 meV per atom
- Space-group type: P2_1/c (14)
- M_tot: 0.0 μB/cell
- Final energy: -4.701 eV per atom

=====

DFT (PBE-GGA) results for crystalline Ta2MnTe at its relaxed geometry.

The structure in POSCAR format:
```
Ta2MnTe
1.0
5.2313 -0.0412 0.0000
2.2451 4.7252 0.0000
-3.7382 -2.3420 2.8123
Ta Mn Te
2 1 1
Direct
0.0000 0.0000 0.0000
0.5000 0.5000 0.0000
0.7500 0.2500 0.5000
0.2500 0.7500 0.5000
```

## Properties
- Fermi-level density of states: 1.8 states/eV/cell
- Space-group type: I4/mmm (139)
- M_tot: 2.1 μB/cell
- Final energy: -8.782 eV per atom

=====

DFT (PBE-GGA) results for crystalline VSn at its relaxed geometry.

The structure in POSCAR format:
```
VSn
1.0
-4.3527 -3.1907 -1.9560
-0.7804 -1.9817 4.9691
-6.1659 7.2360 1.9174
V Sn
8 8
Direct
0.2407 0.0486 0.6271
0.0082 0.5926 0.6365
0.2593 0.9514 0.1271
0.4918 0.4074 0.1365
0.9918 0.0926 0.8635
0.7593 0.5486 0.8729
0.7407 0.4514 0.3729
0.5082 0.9074 0.3635
0.7378 0.8660 0.1081
0.5169 0.6328 0.6214
0.4831 0.1328 0.8786
0.2378 0.6340 0.8919
0.2622 0.3660 0.3919
0.7622 0.1340 0.6081
0.9831 0.3672 0.1214
0.0169 0.8672 0.3786
```

## Properties
- Fermi-level density of states: 8.9 states/eV/cell
- Energy of formation from the pure elements: 217 meV per atom
- Space-group type: P2_12_12_1 (19)
- M_tot: 0.5 μB/cell
- Final energy: -6.344 eV per atom

=====

DFT (PBE-GGA) results for crystalline CaTlHAu at its relaxed geometry.

The structure in POSCAR format:
```
CaTlHAu
1.0
-0.5269 3.4563 -0.2650
-2.0517 -0.0550 3.3553
6.4792 -0.6761 1.6544
H Ca Au Tl
1 1 1 1
Direct
0.5025 0.2582 0.8761
0.8916 0.1480 0.6557
0.2628 0.5205 0.4005
0.6054 0.8626 0.0855
```

## Properties
- Excess energy over the best structure of this formula in the dataset: 42 meV/atom
- Fermi-level density of states: 1.1 states/eV/cell
- Space-group type: P1 (1)
- M_tot: 0.0 μB/cell
- Final energy: -3.026 eV per atom

=====

DFT (PBE-GGA) results for crystalline Rb2YAs2S6 at its relaxed geometry.

The structure in POSCAR format:
```
Rb2YAs2S6
1.0
7.1421 0.0000 0.0000
-3.5710 6.0277 -0.2143
0.0000 -3.7241 7.6366
Rb As S Y
2 2 6 1
Direct
0.2962 0.5923 0.8171
0.7038 0.4077 0.1829
0.9492 0.8985 0.8068
0.0508 0.1015 0.1932
0.6989 0.9061 0.2217
0.2071 0.9061 0.2217
0.2523 0.5045 0.4001
0.3011 0.0939 0.7783
0.7477 0.4955 0.5999
0.7929 0.0939 0.7783
0.5000 0.0000 0.5000
```

## Properties
- Fermi-level density of states: 3.6 states/eV/cell
- Space-group type: C2/m (12)
- M_tot: 0.0 μB/cell
- Final energy: -4.690 eV per atom

=====

DFT (PBE-GGA) results for crystalline Er2CuF8 at its relaxed geometry.

The structure in POSCAR format:
```
Er2CuF8
1.0
-1.0935 -1.7435 2.7141
-3.2603 -3.7477 -3.0102
6.4974 -4.4097 -2.3701
F Cu Er
8 1 2
Direct
0.0433 0.2293 0.9679
0.9567 0.7707 0.0321
0.7258 0.6702 0.5050
0.2742 0.3298 0.4950
0.5576 0.9246 0.2429
0.4424 0.0754 0.7571
0.3802 0.5427 0.7771
0.6198 0.4573 0.2229
0.5000 0.0000 0.0000
0.8691 0.3525 0.6950
0.1309 0.6475 0.3050
```

## Properties
- Excess energy over the best structure of this formula in the dataset: 55 meV/atom
- Space-group type: P-1 (2)
- M_tot: 1.0 μB/cell
- Final energy: -5.907 eV per atom

=====

DFT (PBE-GGA) results for crystalline Te2RuPtI at its relaxed geometry.

The structure in POSCAR format:
```
Te2RuPtI
1.0
-0.0280 4.4067 2.9354
-4.7995 1.4144 -2.1691
-2.5141 -2.5945 3.8710
Te Ru Pt I
2 1 1 1
Direct
0.5000 0.0000 0.0000
0.0000 0.0000 0.5000
0.5000 0.5000 0.5000
0.0000 0.0000 0.0000
0.0000 0.5000 0.0000
```

## Properties
- Excess energy over the best structure of this formula in the dataset: 154 meV/atom
- Fermi-level density of states: 6.6 states/eV/cell
- Space-group type: P4/mmm (123)
- M_tot: 3.6 μB/cell
- Final energy: -3.553 eV per atom

=====

DFT (PBE-GGA) results for crystalline NiHgBi2C at its relaxed geometry.

The structure in POSCAR format:
```
NiHgBi2C
1.0
5.3720 0.0000 0.0000
0.0000 3.6551 0.0000
0.0000 0.0000 5.3720
C Bi Hg Ni
1 2 1 1
Direct
0.0000 0.0000 0.0000
0.0000 0.0000 0.5000
0.5000 0.0000 0.0000
0.5000 0.5000 0.5000
0.0000 0.5000 0.0000
```

## Properties
- Excess energy over the best structure of this formula in the dataset: 0 meV/atom
- Fermi-level density of states: 2.7 states/eV/cell
- Energy of formation from the pure elements: 609 meV per atom
- Space-group type: P4/mmm (123)
- M_tot: 0.0 μB/cell
- Final energy: -4.005 eV per atom

=====

DFT (PBE-GGA) results for crystalline YErCuOs at its relaxed geometry.

The structure in POSCAR format:
```
YErCuOs
1.0
4.8400 0.0000 0.0000
2.4200 4.1916 0.0000
2.4200 1.3972 3.9518
Er Cu Os Y
1 1 1 1
Direct
0.2500 0.2500 0.2500
0.0000 0.0000 0.0000
0.5000 0.5000 0.5000
0.7500 0.7500 0.7500
```

## Properties
- Fermi-level density of states: 2.4 states/eV/cell
- Energy of formation from the pure elements: -266 meV per atom
- Space-group type: F-43m (216)
- M_tot: 0.0 μB/cell
- Final energy: -6.854 eV per atom

=====

DFT (PBE-GGA) results for crystalline Ce4CdIn12 at its relaxed geometry.

The structure in POSCAR format:
```
Ce4CdIn12
1.0
7.8735 0.0000 -2.7837
-3.9368 6.8187 -2.7837
0.0000 0.0000 8.3511
In Ce Cd
12 4 1
Direct
0.7025 0.7025 0.0000
0.0000 0.2975 0.2975
0.2500 0.5000 0.7500
0.7500 0.5000 0.2500
0.2500 0.7500 0.5000
0.5000 0.2500 0.7500
0.2975 0.2975 0.0000
0.7025 0.0000 0.7025
0.5000 0.7500 0.2500
0.0000 0.7025 0.7025
0.7500 0.2500 0.5000
0.2975 0.0000 0.2975
0.0000 0.5000 0.0000
0.5000 0.5000 0.5000
0.0000 0.0000 0.5000
0.5000 0.0000 0.0000
0.0000 0.0000 0.0000
```

## Properties
- Fermi-level density of states: 28.7 states/eV/cell
- Energy of formation from the pure elements: -321 meV per atom
- Space-group type: Im-3m (229)
- M_tot: 4.2 μB/cell
- Final energy: -3.704 eV per atom

=====

DFT (PBE-GGA) results for crystalline Ti4SbH at its relaxed geometry.

The structure in POSCAR format:
```
Ti4SbH
1.0
-2.6301 1.6704 4.0955
-4.3876 -0.4316 -2.6416
4.1345 -7.0639 2.3003
H Ti Sb
2 8 2
Direct
0.0000 0.5000 0.5000
0.5000 0.0000 0.5000
0.3328 0.5974 0.4126
0.5746 0.0842 0.7899
0.4254 0.9158 0.2101
0.2153 0.5840 0.7901
0.0798 0.0978 0.4127
0.6672 0.4026 0.5874
0.7847 0.4160 0.2099
0.9202 0.9022 0.5873
0.7986 0.7503 0.0001
0.2014 0.2497 0.9999
```

## Properties
- Fermi-level density of states: 12.5 states/eV/cell
- Space-group type: C2/c (15)
- M_tot: 0.0 μB/cell
- Final energy: -6.702 eV per atom

=====

DFT (PBE-GGA) results for crystalline Cs3In2Hg4Au2 at its relaxed geometry.

The structure in POSCAR format:
```
Cs3In2Hg4Au2
1.0
5.0199 0.0000 0.0000
-2.5099 4.3473 0.0000
0.0000 0.0000 19.1889
In Hg Cs Au
2 4 3 2
Direct
0.6667 0.3333 0.4419
0.3333 0.6667 0.5581
0.6667 0.3333 0.5978
0.3333 0.6667 0.8659
0.3333 0.6667 0.4022
0.6667 0.3333 0.1341
0.0000 0.0000 0.7337
0.0000 0.0000 0.2663
0.0000 0.0000 0.0000
0.3333 0.6667 0.1304
0.6667 0.3333 0.8696
```

## Properties
- Fermi-level density of states: 4.0 states/eV/cell
- Energy of formation from the pure elements: -199 meV per atom
- Space-group type: P-3m1 (164)
- M_tot: 0.0 μB/cell
- Final energy: -1.636 eV per atom

=====

DFT (PBE-GGA) results for crystalline HoSn3Pd3 at its relaxed geometry.

The structure in POSCAR format:
```
HoSn3Pd3
1.0
-1.3439 0.6686 -7.0853
-6.6158 -2.7748 0.9930
-2.6229 6.6564 1.1256
Sn Pd Ho
6 6 2
Direct
0.2500 0.5000 0.0000
0.0000 0.2500 0.5000
0.5000 0.0000 0.2500
0.5000 0.0000 0.7500
0.0000 0.7500 0.5000
0.7500 0.5000 0.0000
0.0000 0.5000 0.7500
0.7500 0.0000 0.5000
0.5000 0.7500 0.0000
0.2500 0.0000 0.5000
0.5000 0.2500 0.0000
0.0000 0.5000 0.2500
0.5000 0.5000 0.5000
0.0000 0.0000 0.0000
```

## Properties
- Fermi-level density of states: 10.3 states/eV/cell
- Energy of formation from the pure elements: -56 meV per atom
- Space-group type: Pm-3n (223)
- M_tot: 0.0 μB/cell
- Final energy: -4.651 eV per atom

=====

DFT (PBE-GGA) results for crystalline EuScSn at its relaxed geometry.

The structure in POSCAR format:
```
EuScSn
1.0
-0.0458 3.7208 0.9085
-5.0945 -0.0281 -0.1416
2.4339 -1.0339 4.3569
Eu Sn Sc
1 1 1
Direct
0.0002 0.0000 0.0000
0.4990 0.6667 0.3333
0.5008 0.3333 0.6667
```

## Properties
- Excess energy over the best structure of this formula in the dataset: 0 meV/atom
- Fermi-level density of states: 2.2 states/eV/cell
- Energy of formation from the pure elements: -401 meV per atom
- Space-group type: P-6m2 (187)
- M_tot: 7.9 μB/cell
- Final energy: -7.271 eV per atom

=====

DFT (PBE-GGA) results for crystalline VP2WS at its relaxed geometry.

The structure in POSCAR format:
```
VP2WS
1.0
4.6955 0.0000 0.0000
0.0000 4.6955 0.0000
0.0000 0.0000 4.6668
W S V P
1 1 1 2
Direct
0.0000 0.0000 0.0000
0.0000 0.0000 0.5000
0.5000 0.5000 0.5000
0.0000 0.5000 0.0000
0.5000 0.0000 0.0000
```

## Properties
- Excess energy over the best structure of this formula in the dataset: 0 meV/atom
- Fermi-level density of states: 5.6 states/eV/cell
- Space-group type: P4/mmm (123)
- M_tot: 3.2 μB/cell
- Final energy: -6.735 eV per atom

=====

DFT (PBE-GGA) results for crystalline ScMoP2 at its relaxed geometry.

The structure in POSCAR format:
```
ScMoP2
1.0
-2.3192 -5.8794 5.0163
-3.4676 -6.9089 2.3136
-0.4936 -7.4544 3.0491
P Sc Mo
2 1 1
Direct
0.0015 0.0015 0.0015
0.2576 0.2576 0.2576
0.5027 0.5027 0.5027
0.7383 0.7383 0.7383
```

## Properties
- Excess energy over the best structure of this formula in the dataset: 786 meV/atom
- Fermi-level density of states: 3.1 states/eV/cell
- Energy of formation from the pure elements: -89 meV per atom
- Space-group type: R3m (160)
- M_tot: 0.0 μB/cell
- Final energy: -7.084 eV per atom

=====

DFT (PBE-GGA) results for crystalline Ge2Ir2Pd at its relaxed geometry.

The structure in POSCAR format:
```
Ge2Ir2Pd
1.0
-2.3989 -5.7074 -3.8881
6.7911 -1.2021 -2.4255
0.4918 -1.7284 2.2337
Pd Ir Ge
2 4 4
Direct
0.5000 0.5000 0.0000
0.0000 0.0000 0.0000
0.3586 0.8586 0.0000
0.1414 0.3586 0.0000
0.8586 0.6414 0.0000
0.6414 0.1414 0.0000
0.8429 0.3429 0.5000
0.6571 0.8429 0.5000
0.1571 0.6571 0.5000
0.3429 0.1571 0.5000
```

## Properties
- Excess energy over the best structure of this formula in the dataset: 19 meV/atom
- Fermi-level density of states: 3.7 states/eV/cell
- Energy of formation from the pure elements: -178 meV per atom
- Space-group type: P4/mbm (127)
- M_tot: 0.0 μB/cell
- Final energy: -6.608 eV per atom

=====

DFT (PBE-GGA) results for crystalline InAs2Au2 at its relaxed geometry.

The structure in POSCAR format:
```
InAs2Au2
1.0
4.1336 0.0000 0.0000
0.0000 4.1336 0.0000
2.0668 2.0668 6.3771
As In Au
2 1 2
Direct
0.2500 0.7500 0.5000
0.7500 0.2500 0.5000
0.0000 0.0000 0.0000
0.6060 0.6060 0.7879
0.3940 0.3940 0.2121
```

## Properties
- Excess energy over the best structure of this formula in the dataset: 8 meV/atom
- Fermi-level density of states: 1.6 states/eV/cell
- Energy of formation from the pure elements: 106 meV per atom
- Space-group type: I4/mmm (139)
- M_tot: 0.0 μB/cell
- Final energy: -3.612 eV per atom

=====

DFT (PBE-GGA) results for crystalline Ti2CuW at its relaxed geometry.

The structure in POSCAR format:
```
Ti2CuW
1.0
6.9527 0.0000 0.0000
0.0000 6.9527 0.0000
3.4764 3.4764 2.6630
Ti W Cu
4 2 2
Direct
0.8750 0.8608 0.7500
0.6108 0.1250 0.2500
0.1392 0.6250 0.2500
0.3750 0.3892 0.7500
0.0000 0.0000 0.0000
0.7500 0.2500 0.5000
0.2500 0.7500 0.5000
0.5000 0.5000 0.0000
```

## Properties
- Excess energy over the best structure of this formula in the dataset: 529 meV/atom
- Fermi-level density of states: 6.6 states/eV/cell
- Energy of formation from the pure elements: 458 meV per atom
- Space-group type: I-42d (122)
- M_tot: 0.0 μB/cell
- Final energy: -7.752 eV per atom

=====

DFT (PBE-GGA) results for crystalline ZrSc3Cu8 at its relaxed geometry.

The structure in POSCAR format:
```
ZrSc3Cu8
1.0
-1.5535 -1.7149 4.5135
3.1994 -2.7661 -2.7997
6.3500 3.7071 3.5941
Cu Sc Zr
8 3 1
Direct
0.1652 0.3304 0.2503
0.6696 0.8348 0.2503
0.3333 0.6667 0.5000
0.5017 0.4983 0.7500
0.1652 0.8348 0.2503
0.5017 0.0034 0.7500
0.3333 0.6667 0.0000
0.9966 0.4983 0.7500
0.6667 0.3333 0.0530
0.6667 0.3333 0.4424
0.0000 0.0000 0.9471
0.0000 0.0000 0.5569
```

## Properties
- Fermi-level density of states: 9.6 states/eV/cell
- Energy of formation from the pure elements: -198 meV per atom
- Space-group type: P3m1 (156)
- M_tot: 0.0 μB/cell
- Final energy: -5.224 eV per atom

=====

DFT (PBE-GGA) results for crystalline V6Co3C at its relaxed geometry.

The structure in POSCAR format:
```
V6Co3C
1.0
6.7267 0.8389 0.5926
3.8153 4.8983 0.4328
3.8153 2.0449 4.4720
C V Co
1 6 3
Direct
0.5000 0.5000 0.5000
0.4251 0.6533 0.1496
0.0395 0.7559 0.7559
0.9605 0.2441 0.2441
0.5749 0.8504 0.3467
0.5749 0.3467 0.8504
0.4251 0.1496 0.6533
0.0000 0.0000 0.0000
0.1277 0.3573 0.3573
0.8723 0.6427 0.6427
```

## Properties
- Fermi-level density of states: 9.6 states/eV/cell
- Energy of formation from the pure elements: -7 meV per atom
- Space-group type: C2/m (12)
- M_tot: 0.8 μB/cell
- Final energy: -8.532 eV per atom

=====

DFT (PBE-GGA) results for crystalline Pm2AgPd4 at its relaxed geometry.

The structure in POSCAR format:
```
Pm2AgPd4
1.0
4.0944 0.0000 0.0000
0.0000 4.0944 0.0000
-2.0472 -2.0472 9.1080
Pd Ag Pm
4 1 2
Direct
0.2500 0.7500 0.5000
0.1470 0.1470 0.2939
0.8530 0.8530 0.7061
0.7500 0.2500 0.5000
0.0000 0.0000 0.0000
0.3797 0.3797 0.7594
0.6203 0.6203 0.2406
```

## Properties
- Excess energy over the best structure of this formula in the dataset: 0 meV/atom
- Fermi-level density of states: 2.3 states/eV/cell
- Energy of formation from the pure elements: -600 meV per atom
- Space-group type: I4/mmm (139)
- M_tot: 0.0 μB/cell
- Final energy: -5.332 eV per atom